# 1
Below is a relaxed structure of GaCuHgAu, with properties calculated at the GGA-PBE level.

## Properties
**Space-group type**: F-43m, No. 216

The structure in extended XYZ format:
```
4
Lattice="0.0000 3.2849 3.2849 3.2849 0.0000 3.2849 3.2849 3.2849 0.0000" Properties=species:S:1:pos:R:3 pbc="T T T"
Au 1.6425 1.6425 1.6425
Cu 4.9274 4.9274 4.9274
Ga 0.0000 0.0000 0.0000
Hg 3.2849 3.2849 3.2849
```

***

# 2
Below is a relaxed structure of InGaCuAu, with properties calculated at the GGA-PBE level.

## Properties
**Space-group type**: F-43m, No. 216

The structure in extended XYZ format:
```
4
Lattice="4.6569 0.0011 0.5399 1.8765 1.0501 4.1658 2.0647 -3.3473 2.5516" Properties=species:S:1:pos:R:3 pbc="T T T"
Au 6.4485 -1.7221 5.4430
Cu 2.1495 -0.5740 1.8143
Ga 4.2990 -1.1481 3.6287
In 0.0000 0.0000 0.0000
```

***

# 3
Below is a relaxed structure of Li2InGaCu2Au2, with properties calculated at the GGA-PBE level.

## Properties
**Space-group type**: P-4m2, No. 115

The structure in extended XYZ format:
```
8
Lattice="4.3356 0.0000 0.0000 0.0000 4.3356 0.0000 0.0000 0.0000 6.5902" Properties=species:S:1:pos:R:3 pbc="T T T"
Au 2.1678 0.0000 1.4987
Au 0.0000 2.1678 5.0915
Cu 0.0000 2.1678 1.4838
Cu 2.1678 0.0000 5.1064
Ga 0.0000 0.0000 0.0000
In 2.1678 2.1678 3.2951
Li 2.1678 2.1678 0.0000
Li 0.0000 0.0000 3.2951
```

***

In order of appearance, energy = -2.469 -3.145 -3.243 eV per atom.